No. 1
# V2OsRu6 | the Alexandria database | PBE | optimized geometry
data_V2OsRu6
_chemical_formula_sum 'V8 Os4 Ru24'
_symmetry_space_group_name_H-M 'C 1 2/c 1'
_symmetry_Int_Tables_number 15
_cell_length_a 12.6140
_cell_length_b 6.4240
_cell_length_c 8.8382
_cell_angle_alpha 90.00
_cell_angle_beta 134.35
_cell_angle_gamma 90.00
loop_
_symmetry_equiv_pos_as_xyz
'x,y,z'
'-x,-y,-z'
'-x,y,-z+1/2'
'x,-y,z+1/2'
'x+1/2,y+1/2,z'
'-x+1/2,-y+1/2,-z'
'-x+1/2,y+1/2,-z+1/2'
'x+1/2,-y+1/2,z+1/2'
loop_
_atom_site_label
_atom_site_fract_x
_atom_site_fract_y
_atom_site_fract_z
V1 0.2223 0.0968 0.0708
Os1 0.0000 0.3916 0.7500
Ru1 0.0962 0.3506 0.1204
Ru2 0.1011 0.0538 0.7085
Ru3 0.1552 0.2982 0.5104
# Energy of formation from the pure elements ... 0.04 eV per atom
# Magnetization ... 0.00 μB per atom
# Raw total energy ... -9.42 eV per atom



No. 2
# V2OsRu | the Alexandria database | PBE | optimized geometry
data_V2OsRu
_chemical_formula_sum 'V8 Os4 Ru4'
_symmetry_space_group_name_H-M 'C m c m'
_symmetry_Int_Tables_number 63
_symmetry_space_group_name_Hall '-C 2c 2'
_cell_length_a 6.0452
_cell_length_b 8.5392
_cell_length_c 4.2619
_cell_angle_alpha 90.00
_cell_angle_beta 90.00
_cell_angle_gamma 90.00
loop_
_atom_site_label
_atom_site_fract_x
_atom_site_fract_y
_atom_site_fract_z
V1 0.2463 0.1264 0.2500
Os1 0.0000 0.1276 0.7500
Ru1 0.0000 0.3814 0.2500
# Energy of formation from the pure elements ... -0.24 eV per atom
# Magnetization ... 0.21 μB per atom
# Raw total energy ... -9.92 eV per atom



No. 3
# VOs3Ru2 | the Alexandria database | PBE | optimized geometry
data_VOs3Ru2
_chemical_formula_sum 'V2 Os6 Ru4'
_symmetry_space_group_name_H-M 'P -1'
_symmetry_Int_Tables_number 2
_cell_length_a 2.7355
_cell_length_b 7.2689
_cell_length_c 9.1103
_cell_angle_alpha 69.02
_cell_angle_beta 89.98
_cell_angle_gamma 89.95
loop_
_symmetry_equiv_pos_as_xyz
'x,y,z'
'-x,-y,-z'
loop_
_atom_site_label
_atom_site_fract_x
_atom_site_fract_y
_atom_site_fract_z
V1 0.2481 0.4226 0.3966
Os1 0.2498 0.3201 0.8434
Os2 0.2501 0.8062 0.3516
Os3 0.2500 0.9352 0.9039
Ru1 0.2501 0.8801 0.6244
Ru2 0.2507 0.3743 0.1248
# Energy of formation from the pure elements ... -0.04 eV per atom
# Magnetization ... 0.00 μB per atom
# Raw total energy ... -10.26 eV per atom



No. 4
# VOs2Ru5 | the Alexandria database | PBE | optimized geometry
data_VOs2Ru5
_chemical_formula_sum 'V4 Os8 Ru20'
_symmetry_space_group_name_H-M 'F m m 2'
_symmetry_Int_Tables_number 42
_symmetry_space_group_name_Hall 'F 2 -2'
_cell_length_a 7.6342
_cell_length_b 7.6577
_cell_length_c 7.6586
_cell_angle_alpha 90.00
_cell_angle_beta 90.00
_cell_angle_gamma 90.00
loop_
_atom_site_label
_atom_site_fract_x
_atom_site_fract_y
_atom_site_fract_z
V1 0.0000 0.0000 0.0000
Os1 0.0000 0.2502 0.2497
Ru1 0.0000 0.0000 0.4961
Ru2 0.2494 0.0000 0.7493
Ru3 0.2500 0.2500 0.4983
# Energy of formation from the pure elements ... 0.02 eV per atom
# Magnetization ... 0.00 μB per atom
# Raw total energy ... -9.73 eV per atom



No. 5
# V4OsRu3 | the Alexandria database | PBE | optimized geometry
data_V4OsRu3
_chemical_formula_sum 'V4 Os1 Ru3'
_symmetry_space_group_name_H-M 'P m m m'
_symmetry_Int_Tables_number 47
_cell_length_a 3.0034
_cell_length_b 4.2760
_cell_length_c 8.5509
_cell_angle_alpha 90.00
_cell_angle_beta 90.00
_cell_angle_gamma 90.00
loop_
_symmetry_equiv_pos_as_xyz
'x,y,z'
'-x,-y,-z'
'-x,-y,z'
'x,y,-z'
'x,-y,-z'
'-x,y,z'
'-x,y,-z'
'x,-y,z'
loop_
_atom_site_label
_atom_site_fract_x
_atom_site_fract_y
_atom_site_fract_z
V1 0.0000 0.0000 0.0000
V2 0.0000 0.0000 0.5000
V3 0.0000 0.5000 0.2473
Os1 0.5000 0.5000 0.0000
Ru1 0.5000 0.0000 0.2542
Ru2 0.5000 0.5000 0.5000
# Energy of formation from the pure elements ... -0.24 eV per atom
# Magnetization ... 0.31 μB per atom
# Raw total energy ... -9.68 eV per atom



No. 6
# V2OsRu | the Alexandria database | PBE | optimized geometry
data_V2OsRu
_chemical_formula_sum 'V8 Os4 Ru4'
_symmetry_space_group_name_H-M 'I -4 2 d'
_symmetry_Int_Tables_number 122
_symmetry_space_group_name_Hall 'I -4 2bw'
_cell_length_a 6.7846
_cell_length_b 6.7846
_cell_length_c 5.1881
_cell_angle_alpha 90.00
_cell_angle_beta 90.00
_cell_angle_gamma 90.00
loop_
_atom_site_label
_atom_site_fract_x
_atom_site_fract_y
_atom_site_fract_z
V1 0.2488 0.2500 0.1250
Os1 0.0000 0.0000 0.5000
Ru1 0.0000 0.0000 0.0000
# Energy of formation from the pure elements ... 0.47 eV per atom
# Magnetization ... 0.00 μB per atom
# Raw total energy ... -9.22 eV per atom



No. 7
# V2Os4Ru5 | the Alexandria database | PBE | optimized geometry
data_V2Os4Ru5
_chemical_formula_sum 'V2 Os4 Ru5'
_symmetry_space_group_name_H-M 'P -1'
_symmetry_Int_Tables_number 2
_cell_length_a 2.7229
_cell_length_b 6.6204
_cell_length_c 8.9646
_cell_angle_alpha 104.72
_cell_angle_beta 98.70
_cell_angle_gamma 90.02
loop_
_symmetry_equiv_pos_as_xyz
'x,y,z'
'-x,-y,-z'
loop_
_atom_site_label
_atom_site_fract_x
_atom_site_fract_y
_atom_site_fract_z
V1 0.0920 0.2305 0.1804
Os1 0.1801 0.9553 0.3599
Os2 0.4541 0.1342 0.9083
Ru1 0.0000 0.5000 0.0000
Ru2 0.2742 0.6855 0.5472
Ru3 0.3636 0.4141 0.7255
# Energy of formation from the pure elements ... 0.01 eV per atom
# Magnetization ... 0.00 μB per atom
# Raw total energy ... -9.95 eV per atom



No. 8
# VOsRu | the Alexandria database | PBE | optimized geometry
data_VOsRu
_chemical_formula_sum 'V2 Os2 Ru2'
_symmetry_space_group_name_H-M 'P -1'
_symmetry_Int_Tables_number 2
_cell_length_a 4.6900
_cell_length_b 4.6916
_cell_length_c 5.1201
_cell_angle_alpha 116.67
_cell_angle_beta 91.02
_cell_angle_gamma 119.35
loop_
_symmetry_equiv_pos_as_xyz
'x,y,z'
'-x,-y,-z'
loop_
_atom_site_label
_atom_site_fract_x
_atom_site_fract_y
_atom_site_fract_z
V1 0.0952 0.3467 0.2459
Os1 0.2414 0.3274 0.7424
Ru1 0.4180 0.0056 0.2466
# Energy of formation from the pure elements ... -0.12 eV per atom
# Magnetization ... 0.00 μB per atom
# Raw total energy ... -10.00 eV per atom



No. 9
# V3Os3Ru | the Alexandria database | PBE | optimized geometry
data_V3Os3Ru
_chemical_formula_sum 'V12 Os12 Ru4'
_symmetry_space_group_name_H-M 'C m m m'
_symmetry_Int_Tables_number 65
_symmetry_space_group_name_Hall '-C 2 2'
_cell_length_a 8.3014
_cell_length_b 8.3247
_cell_length_c 5.9264
_cell_angle_alpha 90.00
_cell_angle_beta 90.00
_cell_angle_gamma 90.00
loop_
_atom_site_label
_atom_site_fract_x
_atom_site_fract_y
_atom_site_fract_z
V1 0.0000 0.0000 0.2494
V2 0.2500 0.2500 0.2508
Os1 0.0000 0.2589 0.0000
Os2 0.2387 0.5000 0.0000
Os3 0.2420 0.5000 0.5000
Ru1 0.0000 0.2596 0.5000
# Energy of formation from the pure elements ... -0.03 eV per atom
# Magnetization ... 0.00 μB per atom
# Raw total energy ... -10.08 eV per atom



No. 10
# V6OsRu | the Alexandria database | PBE | optimized geometry
data_V6OsRu
_chemical_formula_sum 'V12 Os2 Ru2'
_symmetry_space_group_name_H-M 'C m m m'
_symmetry_Int_Tables_number 65
_symmetry_space_group_name_Hall '-C 2 2'
_cell_length_a 5.9771
_cell_length_b 8.4872
_cell_length_c 4.2453
_cell_angle_alpha 90.00
_cell_angle_beta 90.00
_cell_angle_gamma 90.00
loop_
_atom_site_label
_atom_site_fract_x
_atom_site_fract_y
_atom_site_fract_z
V1 0.0000 0.2492 0.0000
V2 0.2499 0.0000 0.0000
V3 0.2500 0.2500 0.5000
Os1 0.0000 0.0000 0.5000
Ru1 0.0000 0.5000 0.5000
# Energy of formation from the pure elements ... -0.32 eV per atom
# Magnetization ... 0.00 μB per atom
# Raw total energy ... -9.72 eV per atom



No. 11
# V4Os2Ru3 | the Alexandria database | PBE | optimized geometry
data_V4Os2Ru3
_chemical_formula_sum 'V4 Os2 Ru3'
_symmetry_space_group_name_H-M 'P -3 m 1'
_symmetry_Int_Tables_number 164
_symmetry_space_group_name_Hall '-P 3 2"'
_cell_length_a 4.2573
_cell_length_b 4.2573
_cell_length_c 7.9456
_cell_angle_alpha 90.00
_cell_angle_beta 90.00
_cell_angle_gamma 120.00
loop_
_atom_site_label
_atom_site_fract_x
_atom_site_fract_y
_atom_site_fract_z
V1 0.0000 0.0000 0.1544
V2 0.3333 0.6667 0.3891
Os1 0.3333 0.6667 0.7114
Ru1 0.0000 0.0000 0.5000
Ru2 0.3333 0.6667 0.0850
# Energy of formation from the pure elements ... -0.20 eV per atom
# Magnetization ... 0.00 μB per atom
# Raw total energy ... -9.84 eV per atom



No. 12
# V4OsRu | the Alexandria database | PBE | optimized geometry
data_V4OsRu
_chemical_formula_sum 'V8 Os2 Ru2'
_symmetry_space_group_name_H-M 'C 1 2/m 1'
_symmetry_Int_Tables_number 12
_cell_length_a 5.8150
_cell_length_b 5.8153
_cell_length_c 5.8124
_cell_angle_alpha 90.00
_cell_angle_beta 90.08
_cell_angle_gamma 90.00
loop_
_symmetry_equiv_pos_as_xyz
'x,y,z'
'-x,-y,-z'
'-x,y,-z'
'x,-y,z'
'x+1/2,y+1/2,z'
'-x+1/2,-y+1/2,-z'
'-x+1/2,y+1/2,-z'
'x+1/2,-y+1/2,z'
loop_
_atom_site_label
_atom_site_fract_x
_atom_site_fract_y
_atom_site_fract_z
V1 0.2499 0.2498 0.2494
Os1 0.0000 0.0000 0.5000
Ru1 0.0000 0.5000 0.0000
# Energy of formation from the pure elements ... 0.32 eV per atom
# Magnetization ... 0.00 μB per atom
# Raw total energy ... -9.18 eV per atom



What did the sixth record say?
# V2OsRu | the Alexandria database | PBE | optimized geometry
data_V2OsRu
_chemical_formula_sum 'V8 Os4 Ru4'
_symmetry_space_group_name_H-M 'I -4 2 d'
_symmetry_Int_Tables_number 122
_symmetry_space_group_name_Hall 'I -4 2bw'
_cell_length_a 6.7846
_cell_length_b 6.7846
_cell_length_c 5.1881
_cell_angle_alpha 90.00
_cell_angle_beta 90.00
_cell_angle_gamma 90.00
loop_
_atom_site_label
_atom_site_fract_x
_atom_site_fract_y
_atom_site_fract_z
V1 0.2488 0.2500 0.1250
Os1 0.0000 0.0000 0.5000
Ru1 0.0000 0.0000 0.0000
# Energy of formation from the pure elements ... 0.47 eV per atom
# Magnetization ... 0.00 μB per atom
# Raw total energy ... -9.22 eV per atom



Copy entry 11 word for word.
# V4Os2Ru3 | the Alexandria database | PBE | optimized geometry
data_V4Os2Ru3
_chemical_formula_sum 'V4 Os2 Ru3'
_symmetry_space_group_name_H-M 'P -3 m 1'
_symmetry_Int_Tables_number 164
_symmetry_space_group_name_Hall '-P 3 2"'
_cell_length_a 4.2573
_cell_length_b 4.2573
_cell_length_c 7.9456
_cell_angle_alpha 90.00
_cell_angle_beta 90.00
_cell_angle_gamma 120.00
loop_
_atom_site_label
_atom_site_fract_x
_atom_site_fract_y
_atom_site_fract_z
V1 0.0000 0.0000 0.1544
V2 0.3333 0.6667 0.3891
Os1 0.3333 0.6667 0.7114
Ru1 0.0000 0.0000 0.5000
Ru2 0.3333 0.6667 0.0850
# Energy of formation from the pure elements ... -0.20 eV per atom
# Magnetization ... 0.00 μB per atom
# Raw total energy ... -9.84 eV per atom